Entry 1:
Material: UMnGaRe
Method: DFT, PBE
State: relaxed

The structure in CIF format:
```
data_UMnGaRe
_cell_length_a 4.522
_cell_length_b 4.522
_cell_length_c 4.522
_cell_angle_alpha 60.00
_cell_angle_beta 60.00
_cell_angle_gamma 60.00
_space_group_name_H-M_alt 'P 1'
_space_group_IT_number 1
loop_
_space_group_symop_operation_xyz
'x,y,z'
loop_
_atom_site_label
_atom_site_fract_x
_atom_site_fract_y
_atom_site_fract_z
Mn1 0.250 0.250 0.250
Re1 0.750 0.750 0.750
Ga1 0.000 0.000 0.000
U1 0.500 0.500 0.500
```

Values from the calculation:
DFT formation energy = 0.13 eV/atom
total magnetization = 2.41 μB per formula unit
DFT total energy = -8.851 eV per atom


Entry 2:
Material: NpURe4
Method: DFT, PBE
State: relaxed

The structure in CIF format:
```
data_NpURe4
_cell_length_a 5.376
_cell_length_b 5.376
_cell_length_c 5.376
_cell_angle_alpha 60.00
_cell_angle_beta 60.00
_cell_angle_gamma 60.00
_space_group_name_H-M_alt 'P 1'
_space_group_IT_number 1
loop_
_space_group_symop_operation_xyz
'x,y,z'
loop_
_atom_site_label
_atom_site_fract_x
_atom_site_fract_y
_atom_site_fract_z
Re1 0.126 0.625 0.625
Re2 0.625 0.126 0.625
Re3 0.625 0.625 0.625
Re4 0.625 0.625 0.126
Np1 0.250 0.250 0.250
U1 0.000 0.000 0.000
```

Values from the calculation:
DFT formation energy = 0.12 eV/atom
total magnetization = 2.78 μB per formula unit
DFT total energy = -12.219 eV per atom


Entry 3:
Material: YIr2Pt
Method: DFT, PBE
State: relaxed

The structure in CIF format:
```
data_YIr2Pt
_cell_length_a 5.048
_cell_length_b 5.048
_cell_length_c 5.048
_cell_angle_alpha 132.30
_cell_angle_beta 132.30
_cell_angle_gamma 69.76
_space_group_name_H-M_alt 'P 1'
_space_group_IT_number 1
loop_
_space_group_symop_operation_xyz
'x,y,z'
loop_
_atom_site_label
_atom_site_fract_x
_atom_site_fract_y
_atom_site_fract_z
Y1 0.750 0.250 0.500
Ir1 0.000 0.000 0.000
Ir2 0.500 0.500 0.000
Pt1 0.250 0.750 0.500
```

Values from the calculation:
DFT formation energy = -0.34 eV/atom
total magnetization = 0.00 μB per formula unit
DFT total energy = -7.894 eV per atom